(1)
Below is an optimized crystal structure of SrCuC3, with properties calculated at the GGA-PBE level.

abc: 4.602 4.602 4.602
angles: 90.00 90.00 90.00
Positions (direct):
Sr: 0.000 0.000 0.000
Cu: 0.500 0.500 0.500
C: 0.000 0.000 0.500
C: 0.000 0.500 0.000
C: 0.500 0.000 0.000

## Properties
ΔE to the lowest computed polymorph in meV per atom: 1767
Formation energy in eV/atom: 3.78
Calculated total energy in Ry/atom: -0.21406

(2)
Below is an optimized crystal structure of Sr2CuC2, with properties calculated at the GGA-PBE level.

abc: 7.381 7.381 3.623
angles: 90.00 90.00 90.00
Positions (direct):
Sr: 0.221 0.279 0.000
Sr: 0.279 0.779 0.000
Sr: 0.721 0.221 0.000
Sr: 0.779 0.721 0.000
Cu: 0.000 0.000 0.500
Cu: 0.500 0.500 0.500
C: 0.062 0.562 0.500
C: 0.438 0.062 0.500
C: 0.562 0.938 0.500
C: 0.938 0.438 0.500

## Properties
Formation energy in eV/atom: 0.16
Calculated total energy in Ry/atom: -0.36882

(3)
Below is an optimized crystal structure of Sr3CuC, with properties calculated at the GGA-PBE level.

abc: 5.388 5.388 5.388
angles: 90.00 90.00 90.00
Positions (direct):
Sr: 0.000 0.000 0.500
Sr: 0.000 0.500 0.000
Sr: 0.500 0.000 0.000
Cu: 0.500 0.500 0.500
C: 0.000 0.000 0.000

## Properties
ΔE to the lowest computed polymorph in meV per atom: 0
Formation energy in eV/atom: 0.41
Calculated total energy in Ry/atom: -0.23986

Number 1: total magnetic moment 0.000 μB per cell. Number 2: total magnetic moment 0.000 μB per cell. Number 3: total magnetic moment 0.605 μB per cell.